Record 1
Here is crystalline CeAl3Pd2 at its relaxed geometry from the Alexandria database. Energies are from PBEsol.

Computed properties:
- energy of formation (eV per atom) = -0.80
- DOS(E_F) (states/eV/f.u.) = 5.2

a b c (Å): 4.1969 5.3749 5.3749
angles (deg): 120.00 90.00 90.00
Closest atoms and distances in Å follow each position.
Positions (direct):
Pd  0.0000  0.6667  0.3333  6 Al 2.61
Ce  0.0000  0.0000  0.0000  6 Pd 3.10, 12 Al 3.41
Pd  0.0000  0.3333  0.6667  6 Al 2.61
Al  0.5000  0.0000  0.5000  4 Pd 2.61, 4 Al 2.69
Al  0.5000  0.5000  0.0000  4 Pd 2.61, 4 Al 2.69
Al  0.5000  0.5000  0.5000  4 Pd 2.61, 4 Al 2.69


Record 2
Here is crystalline CeAl2Pd5 at its relaxed geometry from the Alexandria database. Energies are from PBEsol.

Computed properties:
- energy of formation (eV per atom) = -0.86
- DOS(E_F) (states/eV/f.u.) = 6.0

a b c (Å): 4.1324 4.1324 7.8927
angles (deg): 105.18 105.18 90.00
Closest atoms and distances in Å follow each position.
Positions (direct):
Pd  0.6437  0.1437  0.2873  4 Al 2.56-2.62
Al  0.2469  0.2469  0.4937  8 Pd 2.56-2.62
Pd  0.0000  0.0000  0.0000  4 Ce 2.92, 8 Pd 2.95
Pd  0.8563  0.3563  0.7127  4 Al 2.56-2.62
Ce  0.5000  0.5000  0.0000  12 Pd 2.92-2.95
Pd  0.1437  0.6437  0.2873  4 Al 2.56-2.62
Al  0.7531  0.7531  0.5063  8 Pd 2.56-2.62
Pd  0.3563  0.8563  0.7127  4 Al 2.56-2.62


Record 3
Here is crystalline CeAlPd at its relaxed geometry from the Alexandria database. Energies are from PBEsol.

Computed properties:
- energy of formation (eV per atom) = -0.73
- DOS(E_F) (states/eV/f.u.) = 3.6

a b c (Å): 4.1563 7.0304 7.0304
angles (deg): 120.00 90.00 90.00
Closest atoms and distances in Å follow each position.
Positions (direct):
Al  0.0000  0.0000  0.2339  4 Pd 2.65-2.76, 2 Al 2.85
Pd  0.5000  0.0000  0.0000  6 Al 2.65
Pd  0.0000  0.3333  0.6667  3 Al 2.76, 6 Ce 2.95
Ce  0.5000  0.5759  0.0000  5 Pd 2.95-2.98, 2 Al 3.18
Al  0.0000  0.7661  0.7661  4 Pd 2.65-2.76, 2 Al 2.85
Al  0.0000  0.2339  0.0000  4 Pd 2.65-2.76, 2 Al 2.85
Ce  0.5000  0.4241  0.4241  5 Pd 2.95-2.98, 2 Al 3.18
Ce  0.5000  0.0000  0.5759  5 Pd 2.95-2.98, 2 Al 3.18
Pd  0.0000  0.6667  0.3333  3 Al 2.76, 6 Ce 2.95


Record 4
Here is crystalline CeAl4Pd at its relaxed geometry from the Alexandria database. Energies are from PBEsol.

Computed properties:
- energy of formation (eV per atom) = -0.59
- DOS(E_F) (states/eV/f.u.) = 4.9

a b c (Å): 4.2127 6.6227 8.1500
angles (deg): 90.00 104.98 90.00
Closest atoms and distances in Å follow each position.
Positions (direct):
Al  0.0000  0.5000  0.0000  6 Al 2.90-2.91, 4 Ce 3.22
Al  0.1828  0.9496  0.3657  3 Pd 2.47-2.57, 1 Al 2.64
Ce  0.3861  0.7500  0.7722  9 Al 2.92-3.22
Al  0.5714  0.7500  0.1428  1 Pd 2.41
Al  0.4286  0.2500  0.8572  1 Pd 2.41
Ce  0.6139  0.2500  0.2278  9 Al 2.92-3.22
Al  0.8172  0.0504  0.6343  3 Pd 2.47-2.57, 1 Al 2.64
Al  0.1828  0.5504  0.3657  3 Pd 2.47-2.57, 1 Al 2.64
Al  0.8172  0.4496  0.6343  3 Pd 2.47-2.57, 1 Al 2.64
Pd  0.2758  0.2500  0.5517  7 Al 2.41-2.57
Pd  0.7242  0.7500  0.4483  7 Al 2.41-2.57
Al  0.0000  0.0000  0.0000  6 Al 2.90-2.91, 4 Ce 3.22


Record 5
Here is crystalline CeAl3Pd at its relaxed geometry from the Alexandria database. Energies are from PBEsol.

Computed properties:
- energy of formation (eV per atom) = -0.54
- DOS(E_F) (states/eV/f.u.) = 5.9

a b c (Å): 4.1396 4.1396 6.2358
angles (deg): 109.39 109.39 90.00
Closest atoms and distances in Å follow each position.
Positions (direct):
Ce  0.0000  0.0000  0.0000  12 Al 3.19-3.44, 4 Pd 3.44
Al  0.6144  0.6144  0.2287  3 Al 2.52-2.55, 2 Pd 2.55
Pd  0.7500  0.2500  0.5000  4 Al 2.55
Al  0.2500  0.7500  0.5000  4 Al 2.55
Al  0.3856  0.3856  0.7713  3 Al 2.52-2.55, 2 Pd 2.55


Record 6
Here is crystalline Ce2Al11Pd3 at its relaxed geometry from the Alexandria database. Energies are from PBEsol.

Computed properties:
- energy of formation (eV per atom) = -0.52
- DOS(E_F) (states/eV/f.u.) = 12.9

a b c (Å): 4.2312 4.2312 16.5389
angles (deg): 90.00 90.00 90.00
Closest atoms and distances in Å follow each position.
Positions (direct):
Pd  0.0000  0.0000  0.2518  8 Al 2.52-2.58
Al  0.0000  0.5000  0.8322  2 Pd 2.54, 3 Al 2.63-2.80
Al  0.5000  0.5000  0.9261  5 Al 2.44-2.63
Al  0.5000  0.0000  0.3414  4 Pd 2.51-2.58
Al  0.0000  0.5000  0.1688  2 Pd 2.52, 2 Al 2.64
Al  0.5000  0.5000  0.5661  1 Pd 2.37, 4 Al 2.65
Al  0.5000  0.5000  0.0737  5 Al 2.44-2.64
Ce  0.0000  0.0000  0.9973  16 Al 3.21-3.54
Al  0.0000  0.5000  0.3414  4 Pd 2.51-2.58
Pd  0.0000  0.0000  0.7477  8 Al 2.54
Al  0.5000  0.0000  0.8322  2 Pd 2.54, 3 Al 2.63-2.80
Al  0.5000  0.0000  0.6627  2 Pd 2.54, 3 Al 2.65-2.80
Pd  0.5000  0.5000  0.4229  5 Al 2.37-2.51
Al  0.0000  0.5000  0.6627  2 Pd 2.54, 3 Al 2.65-2.80
Al  0.5000  0.0000  0.1688  2 Pd 2.52, 2 Al 2.64
Ce  0.0000  0.0000  0.5044  12 Al 3.16-3.43, 4 Pd 3.28


Record 7
Here is crystalline CeAlPd2 at its relaxed geometry from the Alexandria database. Energies are from PBEsol.

Computed properties:
- energy of formation (eV per atom) = -0.78
- DOS(E_F) (states/eV/f.u.) = 5.7

a b c (Å): 5.8124 6.8724 7.4091
angles (deg): 90.00 90.00 90.00
Closest atoms and distances in Å follow each position.
Positions (direct):
Al  0.6622  0.7500  0.6145  6 Pd 2.53-2.62
Al  0.1622  0.2500  0.8855  6 Pd 2.53-2.62
Pd  0.5820  0.5498  0.3195  3 Al 2.53-2.62, 1 Pd 2.75
Ce  0.6603  0.2500  0.0358  8 Pd 2.98-3.29, 3 Al 3.10-3.20
Pd  0.9180  0.5498  0.8195  3 Al 2.53-2.62, 1 Pd 2.75
Ce  0.8397  0.2500  0.5358  8 Pd 2.98-3.29, 3 Al 3.10-3.20
Pd  0.0820  0.0498  0.1805  3 Al 2.53-2.62, 1 Pd 2.75
Pd  0.0820  0.4502  0.1805  3 Al 2.53-2.62, 1 Pd 2.75
Al  0.3378  0.2500  0.3855  6 Pd 2.53-2.62
Pd  0.9180  0.9502  0.8195  3 Al 2.53-2.62, 1 Pd 2.75
Ce  0.1603  0.7500  0.4642  8 Pd 2.98-3.29, 3 Al 3.10-3.20
Pd  0.4180  0.0498  0.6805  3 Al 2.53-2.62, 1 Pd 2.75
Al  0.8378  0.7500  0.1145  6 Pd 2.53-2.62
Ce  0.3397  0.7500  0.9642  8 Pd 2.98-3.29, 3 Al 3.10-3.20
Pd  0.4180  0.4502  0.6805  3 Al 2.53-2.62, 1 Pd 2.75
Pd  0.5820  0.9502  0.3195  3 Al 2.53-2.62, 1 Pd 2.75


Record 8
Here is crystalline Ce2Al2PdPt at its relaxed geometry from the Alexandria database. Energies are from PBEsol.

Computed properties:
- energy of formation (eV per atom) = -0.82
- DOS(E_F) (states/eV/f.u.) = 10.0

a b c (Å): 4.3597 7.0251 7.8118
angles (deg): 90.00 90.00 90.00
Closest atoms and distances in Å follow each position.
Positions (direct):
Pt  0.5000  0.7758  0.8571  4 Al 2.62-2.67, 1 Ce 2.88
Ce  0.0000  0.4746  0.9325  1 Pd 2.88, 4 Pt 3.07-3.09, 3 Al 3.12-3.15
Ce  0.5000  0.5285  0.5635  1 Pt 2.88, 4 Pd 3.03-3.12, 3 Al 3.12-3.17
Pd  0.0000  0.2221  0.6426  4 Al 2.63-2.70, 1 Ce 2.88
Al  0.5000  0.6487  0.1785  2 Pt 2.63-2.67, 2 Pd 2.64
Al  0.5000  0.1487  0.8215  2 Pt 2.63-2.67, 2 Pd 2.64
Ce  0.5000  0.0285  0.4365  1 Pt 2.88, 4 Pd 3.03-3.12, 3 Al 3.12-3.17
Pd  0.0000  0.7221  0.3574  4 Al 2.63-2.70, 1 Ce 2.88
Ce  0.0000  0.9746  0.0675  1 Pd 2.88, 4 Pt 3.07-3.09, 3 Al 3.12-3.15
Al  0.0000  0.8503  0.6836  2 Pt 2.62, 2 Pd 2.63-2.70
Al  0.0000  0.3503  0.3164  2 Pt 2.62, 2 Pd 2.63-2.70
Pt  0.5000  0.2758  0.1429  4 Al 2.62-2.67, 1 Ce 2.88


Record 9
Here is crystalline CeYAl2Pd2 at its relaxed geometry from the Alexandria database. Energies are from PBEsol.

Computed properties:
- energy of formation (eV per atom) = -0.81
- DOS(E_F) (states/eV/f.u.) = 5.6

a b c (Å): 4.0638 7.1204 12.1526
angles (deg): 90.33 90.00 90.00
Closest atoms and distances in Å follow each position.
Positions (direct):
Al  0.0000  0.3851  0.3788  4 Pd 2.63-2.76, 2 Al 2.88-2.90
Ce  0.5000  0.0795  0.5000  5 Pd 2.88-2.99, 2 Al 3.19
Al  0.0000  0.3873  0.6172  4 Pd 2.61-2.78, 2 Al 2.86-2.90
Al  0.0000  0.7345  0.4992  4 Pd 2.64-2.79, 2 Al 2.86-2.88
Pd  0.0000  0.4963  0.8369  3 Al 2.77-2.78, 4 Ce 2.90-2.93, 2 Y 2.98
Pd  0.0000  0.0039  0.3371  3 Al 2.76, 2 Ce 2.88, 4 Y 2.95-2.97
Al  0.0000  0.2302  0.0024  4 Pd 2.63-2.77, 2 Al 2.87-2.90
Pd  0.5000  0.9963  0.9990  6 Al 2.62-2.65
Al  0.0000  0.8823  0.1211  4 Pd 2.65-2.76, 2 Al 2.87-2.92
Y  0.5000  0.7091  0.7081  5 Pd 2.93-2.99, 6 Al 3.15-3.26
Pd  0.0000  0.5034  0.1641  3 Al 2.75-2.76, 2 Ce 2.89, 4 Y 2.95-2.97
Ce  0.5000  0.5761  0.0008  5 Pd 2.89-2.99, 2 Al 3.19
Pd  0.5000  0.4988  0.4998  6 Al 2.61-2.64
Y  0.5000  0.2088  0.2093  5 Pd 2.95-2.97, 6 Al 3.15-3.26
Ce  0.5000  0.2116  0.7887  5 Pd 2.91-2.99, 2 Al 3.17
Y  0.5000  0.7100  0.2918  5 Pd 2.95-2.97, 6 Al 3.16-3.26
Pd  0.0000  0.0081  0.6650  3 Al 2.77-2.79, 4 Ce 2.90-2.91, 2 Y 2.99
Al  0.0000  0.8787  0.8806  4 Pd 2.62-2.78, 2 Al 2.90-2.92


Number 1: V 17.501 Å³/atom, final energy -5.9266 eV per atom. Number 2: V 15.651 Å³/atom, final energy -6.4310 eV per atom. Number 3: V 19.767 Å³/atom, final energy -6.2822 eV per atom. Number 4: V 18.305 Å³/atom, final energy -5.4074 eV per atom. Number 5: V 18.871 Å³/atom, final energy -5.5069 eV per atom. Number 6: V 18.506 Å³/atom, final energy -5.2781 eV per atom. Number 7: V 18.497 Å³/atom, final energy -6.4286 eV per atom. Number 8: V 19.938 Å³/atom, final energy -6.5371 eV per atom. Number 9: V 19.535 Å³/atom, final energy -6.3962 eV per atom.